Entry 1:
The following is a GGA-PBE calculation of a relaxed Na4Zr3AlSe8 crystal, from Alexandria. Values from VASP.

Computed properties:
**Symmetry**: R-3m
**Uncorrected energy**: -5.1139 eV per atom

Geometry as Quantum ESPRESSO input:
```
&SYSTEM
  ibrav = 0, nat = 16, ntyp = 4
/
ATOMIC_SPECIES
Na 22.99 Na.upf
Zr 91.22 Zr.upf
Al 26.98 Al.upf
Se 78.96 Se.upf
ATOMIC_POSITIONS angstrom
Na 0.000 0.000 0.000
Na -1.957 -1.130 6.983
Na -1.957 1.130 13.966
Na 0.000 2.260 6.983
Zr -3.914 0.000 10.475
Zr -1.957 1.130 3.492
Zr 1.957 1.130 3.492
Al 0.000 0.000 10.475
Se 0.000 0.000 5.082
Se -1.892 -1.092 11.978
Se 0.000 -2.185 8.972
Se -1.892 1.092 8.972
Se 1.892 -1.092 11.978
Se 0.000 2.185 11.978
Se 1.892 1.092 8.972
Se 0.000 0.000 15.867
CELL_PARAMETERS angstrom
3.914 2.260 6.983
-3.914 2.260 6.983
0.000 -4.519 6.983
```

***

Entry 2:
The following is a GGA-PBE calculation of a relaxed InCu2Ag crystal, from Alexandria. Values from VASP.

Computed properties:
**Calculated formation energy**: 227 meV per atom
**Symmetry**: R-3m
**Uncorrected energy**: -3.2187 eV per atom

Geometry as Quantum ESPRESSO input:
```
&SYSTEM
  ibrav = 0, nat = 12, ntyp = 3
/
ATOMIC_SPECIES
In 114.82 In.upf
Cu 63.55 Cu.upf
Ag 107.87 Ag.upf
ATOMIC_POSITIONS angstrom
In 0.000 0.000 0.000
In 0.000 1.779 16.458
In 1.541 0.890 8.229
Cu 0.000 0.000 6.145
Cu 0.000 0.000 18.543
Cu 0.000 1.779 10.313
Cu 0.000 1.779 22.603
Cu 1.541 0.890 2.084
Cu 1.541 0.890 14.374
Ag 0.000 0.000 12.344
Ag 0.000 1.779 4.115
Ag 1.541 0.890 20.573
CELL_PARAMETERS angstrom
3.082 0.000 0.000
-1.541 2.669 0.000
0.000 0.000 24.687
```

***

Entry 3:
The following is a GGA-PBE calculation of a relaxed ZrFe4W crystal, from Alexandria. Values from VASP.

Computed properties:
**Calculated formation energy**: -65 meV per atom
**Symmetry**: F-43m
**Uncorrected energy**: -9.2906 eV per atom

Geometry as Quantum ESPRESSO input:
```
&SYSTEM
  ibrav = 0, nat = 6, ntyp = 3
/
ATOMIC_SPECIES
Zr 91.22 Zr.upf
Fe 55.84 Fe.upf
W 183.84 W.upf
ATOMIC_POSITIONS angstrom
Zr 0.000 0.000 0.000
Fe 4.279 2.573 2.573
Fe 2.573 4.279 2.573
Fe 2.573 2.573 4.279
Fe 4.279 4.279 4.279
W 1.713 1.713 1.713
CELL_PARAMETERS angstrom
0.000 3.426 3.426
3.426 0.000 3.426
3.426 3.426 0.000
```

***

Entry 4:
The following is a GGA-PBE calculation of a relaxed Na3In3GaSe8 crystal, from Alexandria. Values from VASP.

Computed properties:
**Symmetry**: C2/m
**Uncorrected energy**: -3.5358 eV per atom

Geometry as Quantum ESPRESSO input:
```
&SYSTEM
  ibrav = 0, nat = 15, ntyp = 4
/
ATOMIC_SPECIES
Na 22.99 Na.upf
In 114.82 In.upf
Ga 69.72 Ga.upf
Se 78.96 Se.upf
ATOMIC_POSITIONS angstrom
Na 0.000 0.000 0.000
Na 3.403 1.947 0.000
Na 3.403 -1.947 0.000
In 1.121 1.947 3.643
In 1.121 -1.947 3.643
In 4.524 0.000 3.643
Ga -2.282 0.000 3.643
Se -0.115 0.000 5.185
Se 3.434 2.029 5.188
Se 5.615 2.029 2.097
Se 2.259 0.000 2.021
Se 6.789 0.000 5.264
Se 3.434 -2.029 5.188
Se 5.615 -2.029 2.097
Se 9.164 0.000 2.100
CELL_PARAMETERS angstrom
6.806 -3.894 0.000
6.806 3.894 0.000
-4.564 0.000 7.285
```

***

Entry 5:
The following is a GGA-PBE calculation of a relaxed SrLa2As crystal, from Alexandria. Values from VASP.

Computed properties:
**Calculated formation energy**: -670 meV per atom
**Symmetry**: R-3m
**Uncorrected energy**: -4.7165 eV per atom

Geometry as Quantum ESPRESSO input:
```
&SYSTEM
  ibrav = 0, nat = 12, ntyp = 3
/
ATOMIC_SPECIES
Sr 87.62 Sr.upf
La 138.91 La.upf
As 74.92 As.upf
ATOMIC_POSITIONS angstrom
Sr 0.000 0.000 0.000
Sr 0.000 2.427 21.205
Sr 2.102 1.214 10.603
La 0.000 0.000 7.027
La 0.000 0.000 24.781
La 0.000 2.427 14.178
La 0.000 2.427 28.232
La 2.102 1.214 3.576
La 2.102 1.214 17.629
As 0.000 0.000 15.904
As 0.000 2.427 5.301
As 2.102 1.214 26.506
CELL_PARAMETERS angstrom
4.204 0.000 0.000
-2.102 3.641 0.000
0.000 0.000 31.808
```

***

Entry 6:
The following is a GGA-PBE calculation of a relaxed Pr13Mg3 crystal, from Alexandria. Values from VASP.

Computed properties:
**Calculated formation energy**: 10 meV per atom
**Symmetry**: Amm2
**Uncorrected energy**: -4.1724 eV per atom

Geometry as Quantum ESPRESSO input:
```
&SYSTEM
  ibrav = 0, nat = 16, ntyp = 2
/
ATOMIC_SPECIES
Pr 140.91 Pr.upf
Mg 24.30 Mg.upf
ATOMIC_POSITIONS angstrom
Pr 0.000 0.000 0.000
Pr 0.000 -2.276 2.750
Pr 0.000 2.276 2.750
Pr 0.000 0.000 5.586
Pr 2.538 0.000 7.950
Pr 2.688 -2.495 5.349
Pr 2.688 2.495 5.349
Pr 5.244 -2.566 2.780
Pr 5.244 0.000 5.273
Pr 5.244 2.566 2.780
Pr 7.799 -2.495 5.349
Pr 7.799 2.495 5.349
Pr 7.949 0.000 7.950
Mg 2.719 0.000 2.728
Mg 5.244 0.000 0.238
Mg 7.768 0.000 2.728
CELL_PARAMETERS angstrom
10.487 0.000 0.000
0.000 4.972 5.197
0.000 -4.972 5.197
```

***

Entry 7:
The following is a GGA-PBE calculation of a relaxed TaInPd3 crystal, from Alexandria. Values from VASP.

Computed properties:
**Calculated formation energy**: 715 meV per atom
**Symmetry**: Pm-3m
**Uncorrected energy**: -5.3191 eV per atom
**Energy above the most stable polymorph in this dataset**: 0 meV per atom

Geometry as Quantum ESPRESSO input:
```
&SYSTEM
  ibrav = 0, nat = 5, ntyp = 3
/
ATOMIC_SPECIES
Ta 180.95 Ta.upf
In 114.82 In.upf
Pd 106.42 Pd.upf
ATOMIC_POSITIONS angstrom
Ta 0.000 0.000 0.000
In 2.448 2.448 2.448
Pd 0.000 0.000 2.448
Pd 0.000 2.448 0.000
Pd 2.448 0.000 0.000
CELL_PARAMETERS angstrom
4.897 0.000 0.000
0.000 4.897 0.000
0.000 0.000 4.897
```

***

Entry 8:
The following is a GGA-PBE calculation of a relaxed ReBr2Cl crystal, from Alexandria. Values from VASP.

Computed properties:
**Symmetry**: P4/mmm
**Uncorrected energy**: -3.7032 eV per atom
**Energy above the most stable polymorph in this dataset**: 771 meV per atom

Geometry as Quantum ESPRESSO input:
```
&SYSTEM
  ibrav = 0, nat = 4, ntyp = 3
/
ATOMIC_SPECIES
Re 186.21 Re.upf
Br 79.90 Br.upf
Cl 35.45 Cl.upf
ATOMIC_POSITIONS angstrom
Re 0.000 0.000 0.000
Br 1.583 1.583 1.573
Br 1.583 1.583 6.547
Cl 0.000 0.000 4.060
CELL_PARAMETERS angstrom
3.166 0.000 0.000
0.000 3.166 0.000
0.000 0.000 8.120
```

***

Entry 9:
The following is a GGA-PBE calculation of a relaxed RbSrMg6 crystal, from Alexandria. Values from VASP.

Computed properties:
**Calculated formation energy**: 167 meV per atom
**Symmetry**: Amm2
**Uncorrected energy**: -1.3601 eV per atom
**Energy above the most stable polymorph in this dataset**: 31 meV per atom

Geometry as Quantum ESPRESSO input:
```
&SYSTEM
  ibrav = 0, nat = 16, ntyp = 3
/
ATOMIC_SPECIES
Rb 85.47 Rb.upf
Sr 87.62 Sr.upf
Mg 24.30 Mg.upf
ATOMIC_POSITIONS angstrom
Rb 0.000 0.000 0.000
Rb 0.000 3.951 7.096
Sr 0.000 0.000 5.832
Sr 0.000 3.951 12.928
Mg 0.000 1.600 9.940
Mg 0.000 2.351 2.843
Mg 0.000 5.551 2.843
Mg 0.000 6.302 9.940
Mg 2.419 0.000 2.969
Mg 2.419 0.000 8.682
Mg 2.419 1.496 11.767
Mg 2.419 2.455 4.671
Mg 2.419 3.951 1.586
Mg 2.419 3.951 10.065
Mg 2.419 5.447 4.671
Mg 2.419 6.406 11.767
CELL_PARAMETERS angstrom
4.839 0.000 0.000
0.000 7.902 0.000
0.000 0.000 14.192
```

***

Entry 10:
The following is a GGA-PBE calculation of a relaxed Be2Zn2As crystal, from Alexandria. Values from VASP.

Computed properties:
**Calculated formation energy**: 320 meV per atom
**Symmetry**: P4/mbm
**Uncorrected energy**: -2.6103 eV per atom
**Energy above the most stable polymorph in this dataset**: 0 meV per atom

Geometry as Quantum ESPRESSO input:
```
&SYSTEM
  ibrav = 0, nat = 10, ntyp = 3
/
ATOMIC_SPECIES
Be 9.01 Be.upf
Zn 65.41 Zn.upf
As 74.92 As.upf
ATOMIC_POSITIONS angstrom
Be 0.784 2.873 0.000
Be 2.873 6.529 0.000
Be 4.440 0.784 0.000
Be 6.529 4.440 0.000
Zn 1.326 4.982 1.275
Zn 2.331 1.326 1.275
Zn 4.982 5.987 1.275
Zn 5.987 2.331 1.275
As 0.000 0.000 1.275
As 3.657 3.657 1.275
CELL_PARAMETERS angstrom
7.313 0.000 0.000
0.000 7.313 0.000
0.000 0.000 2.551
```

***

Entry 11:
The following is a GGA-PBE calculation of a relaxed Dy4MgAg5 crystal, from Alexandria. Values from VASP.

Computed properties:
**Calculated formation energy**: -294 meV per atom
**Symmetry**: P4/mmm
**Uncorrected energy**: -3.7203 eV per atom

Geometry as Quantum ESPRESSO input:
```
&SYSTEM
  ibrav = 0, nat = 10, ntyp = 3
/
ATOMIC_SPECIES
Dy 162.50 Dy.upf
Mg 24.30 Mg.upf
Ag 107.87 Ag.upf
ATOMIC_POSITIONS angstrom
Dy 0.000 0.000 1.871
Dy 0.000 0.000 5.609
Dy 0.000 0.000 12.538
Dy 0.000 0.000 16.277
Mg 0.000 0.000 9.074
Ag 1.780 1.780 0.000
Ag 1.780 1.780 3.747
Ag 1.780 1.780 7.476
Ag 1.780 1.780 10.671
Ag 1.780 1.780 14.401
CELL_PARAMETERS angstrom
3.561 0.000 0.000
0.000 3.561 0.000
0.000 0.000 18.147
```

***

| no. | magnetic moment (Bohr magnetons per cell) |
| --- | --- |
| 1 | 0.01 |
| 2 | 0.00 |
| 3 | 5.69 |
| 4 | 0.00 |
| 5 | 0.19 |
| 6 | 0.00 |
| 7 | 0.00 |
| 8 | 0.00 |
| 9 | 0.00 |
| 10 | 0.00 |
| 11 | 0.00 |